Compound: Na3TaRh3O8
Source: the Alexandria database
Functional: GGA-PBE
Structure: relaxed

Cell: 6.2307 6.2307 6.6364 Å, 117.97 117.97 59.75°
With the nearest neighbours (Å) after each atom.
Fractional positions:
Na1 0.0000 0.0000 0.0000  6 O 2.40-2.52
Na2 0.0000 0.5000 0.0000  6 O 2.38-2.51
Na3 0.5000 0.0000 0.0000  6 O 2.38-2.51
Ta1 0.0000 0.0000 0.5000  6 O 2.02-2.03
Rh1 0.0000 0.5000 0.5000  6 O 2.07-2.19
Rh2 0.5000 0.0000 0.5000  6 O 2.07-2.19
Rh3 0.5000 0.5000 0.5000  6 O 2.08-2.17
O1 0.2225 0.2225 0.7055  1 Ta 2.02, 2 Rh 2.19
O2 0.2253 0.7566 0.7042  1 Ta 2.03, 2 Rh 2.17-2.19
O3 0.2434 0.7747 0.2958  1 Ta 2.03, 2 Rh 2.17-2.19
O4 0.2715 0.2715 0.3141  3 Rh 2.07-2.08
O5 0.7285 0.7285 0.6859  3 Rh 2.07-2.08
O6 0.7566 0.2253 0.7042  1 Ta 2.03, 2 Rh 2.17-2.19
O7 0.7747 0.2434 0.2958  1 Ta 2.03, 2 Rh 2.17-2.19
O8 0.7775 0.7775 0.2945  1 Ta 2.02, 2 Rh 2.19

Summary:
final energy	-0.2407	Ha/atom
space-group type	C2/m, No. 12
DOS(E_F)	0.29	states/eV/atom
volume	187.2	Å³/f.u.
raw formation energy	-20.73	eV/f.u.



Compound: Na2TbRhO4
Source: the Alexandria database
Functional: GGA-PBE
Structure: relaxed

Cell: 5.4156 3.3241 5.9186 Å, 90.00 109.09 90.00°
With the nearest neighbours (Å) after each atom.
Fractional positions:
Na1 0.0000 0.0000 0.0000  6 O 2.45-2.54
Na2 0.5000 0.5000 0.0000  6 O 2.36-2.41
Tb1 0.0000 0.5000 0.5000  6 O 2.27-2.29
Rh1 0.5000 0.0000 0.5000  6 O 2.15-2.17
O1 0.2511 0.0000 0.7225  1 Rh 2.17, 2 Tb 2.27, 2 Na 2.41
O2 0.2912 0.5000 0.2930  2 Rh 2.15, 1 Tb 2.29, 1 Na 2.36
O3 0.7088 0.5000 0.7070  2 Rh 2.15, 1 Tb 2.29, 1 Na 2.36
O4 0.7489 0.0000 0.2775  1 Rh 2.17, 2 Tb 2.27, 2 Na 2.41

Summary:
final energy	-0.2282	Ha/atom
space-group type	P2/m, No. 10
volume	100.7	Å³/f.u.
raw formation energy	-15.23	eV/f.u.



Compound: NaTb2RhO6
Source: the Alexandria database
Functional: GGA-PBE
Structure: relaxed

Cell: 5.4236 5.8630 9.4568 Å, 90.00 123.42 90.00°
With the nearest neighbours (Å) after each atom.
Fractional positions:
Na1 0.0000 0.0000 0.0000  6 O 2.24-2.31
Na2 0.0000 0.5000 0.5000  6 O 2.24-2.31
Tb1 0.2171 0.0758 0.7420  5 O 2.25-2.47
Tb2 0.2171 0.4242 0.2420  5 O 2.25-2.47
Tb3 0.7829 0.5758 0.7580  5 O 2.25-2.47
Tb4 0.7829 0.9242 0.2580  5 O 2.25-2.47
Rh1 0.5000 0.0000 0.5000  6 O 1.98-2.00
Rh2 0.5000 0.5000 0.0000  6 O 1.98-2.00
O1 0.1432 0.1731 0.4437  1 Rh 1.98
O2 0.1432 0.3269 0.9437  1 Rh 1.98
O3 0.2567 0.7161 0.4174  1 Rh 2.00
O4 0.2567 0.7839 0.9174  1 Rh 2.00
O5 0.4094 0.0666 0.2691  1 Rh 2.00
O6 0.4094 0.4334 0.7691  1 Rh 2.00
O7 0.5906 0.5666 0.2309  1 Rh 2.00
O8 0.5906 0.9334 0.7309  1 Rh 2.00
O9 0.7433 0.2161 0.0826  1 Rh 2.00
O10 0.7433 0.2839 0.5826  1 Rh 2.00
O11 0.8568 0.6731 0.0563  1 Rh 1.98
O12 0.8568 0.8269 0.5563  1 Rh 1.98

Summary:
final energy	-0.2568	Ha/atom
space-group type	P2_1/c, No. 14
DOS(E_F)	0.49	states/eV/atom
volume	125.5	Å³/f.u.
raw formation energy	-22.20	eV/f.u.



Copy entry 2 word for word.
Compound: Na2TbRhO4
Source: the Alexandria database
Functional: GGA-PBE
Structure: relaxed

Cell: 5.4156 3.3241 5.9186 Å, 90.00 109.09 90.00°
With the nearest neighbours (Å) after each atom.
Fractional positions:
Na1 0.0000 0.0000 0.0000  6 O 2.45-2.54
Na2 0.5000 0.5000 0.0000  6 O 2.36-2.41
Tb1 0.0000 0.5000 0.5000  6 O 2.27-2.29
Rh1 0.5000 0.0000 0.5000  6 O 2.15-2.17
O1 0.2511 0.0000 0.7225  1 Rh 2.17, 2 Tb 2.27, 2 Na 2.41
O2 0.2912 0.5000 0.2930  2 Rh 2.15, 1 Tb 2.29, 1 Na 2.36
O3 0.7088 0.5000 0.7070  2 Rh 2.15, 1 Tb 2.29, 1 Na 2.36
O4 0.7489 0.0000 0.2775  1 Rh 2.17, 2 Tb 2.27, 2 Na 2.41

Summary:
final energy	-0.2282	Ha/atom
space-group type	P2/m, No. 10
volume	100.7	Å³/f.u.
raw formation energy	-15.23	eV/f.u.



final energy of number 3 (NaTb2RhO6)? -0.2568 Ha/atom



The lowest volume belongs to which entry? Na2TbRhO4